Record 1
A plane-wave DFT calculation with GGA-PBE was carried out for KYP2H4O9 after structural relaxation.

a = 7.8418 Å, b = 10.5504 Å, c = 10.2222 Å
α = 90.00°, β = 92.86°, γ = 90.00°
Space group P2_1/c (No. 14)
One atom of each set of equivalent atoms:
1 K 0.2488 0.2194 0.1512 x4
2 Y 0.2515 0.6192 0.3303 x4
3 P 0.0372 0.6505 0.6255 x4
4 P 0.3971 0.6076 0.6656 x4
5 H 0.1544 0.6086 0.0434 x4
6 H 0.2867 0.0072 0.5437 x4
7 H 0.4240 0.0722 0.3671 x4
8 H 0.4620 0.1872 0.4595 x4
9 O 0.0448 0.7389 0.2218 x4
10 O 0.0655 0.6940 0.4850 x4
11 O 0.1225 0.0699 0.8630 x4
12 O 0.1987 0.5564 0.6675 x4
13 O 0.2206 0.5500 0.1000 x4
14 O 0.3763 0.1201 0.4403 x4
15 O 0.4154 0.7171 0.7635 x4
16 O 0.4264 0.6488 0.5247 x4
17 O 0.4994 0.0085 0.2127 x4

Computed properties:
The final energy is -6.598 eV per atom.


Record 2
A plane-wave DFT calculation with GGA-PBE was carried out for KZnP2H5O9 after structural relaxation.

a = 7.7317 Å, b = 7.9957 Å, c = 8.0675 Å
α = 64.08°, β = 84.54°, γ = 72.08°
Space group P-1 (No. 2)
One atom of each set of equivalent atoms:
1 K 0.1476 0.2707 0.2255 x2
2 Zn 0.2594 0.7333 0.0277 x2
3 P 0.0807 0.1794 0.7397 x2
4 P 0.3797 0.5496 0.7456 x2
5 H 0.1397 0.7749 0.4398 x2
6 H 0.2013 0.4231 0.5786 x2
7 H 0.4466 0.8258 0.2702 x2
8 H 0.4502 0.0331 0.7337 x2
9 H 0.4668 0.7971 0.5313 x2
10 O 0.0273 0.7098 0.1510 x2
11 O 0.0458 0.8921 0.3423 x2
12 O 0.1599 0.3174 0.5646 x2
13 O 0.2383 0.0022 0.8523 x2
14 O 0.2570 0.5811 0.5887 x2
15 O 0.2661 0.5620 0.9107 x2
16 O 0.4408 0.9244 0.3166 x2
17 O 0.4716 0.6505 0.1905 x2
18 O 0.4756 0.7173 0.6727 x2

Computed properties:
The final energy is -5.847 eV per atom.


Record 3
A plane-wave DFT calculation with GGA-PBE was carried out for KZrP2HO8 after structural relaxation.

a = 9.3640 Å, b = 5.4290 Å, c = 16.8153 Å
α = 90.00°, β = 113.83°, γ = 90.00°
Space group P2/c (No. 13)
One atom of each set of equivalent atoms:
1 K 0.0000 0.0171 0.2500 x2
2 K 0.5000 0.0514 0.7500 x2
3 Zr 0.2519 0.2229 0.4984 x4
4 P 0.1613 0.2777 0.1105 x4
5 P 0.3366 0.2766 0.8853 x4
6 H 0.2522 0.4693 0.2428 x4
7 O 0.0128 0.2346 0.4101 x4
8 O 0.1885 0.4846 0.5697 x4
9 O 0.2290 0.0515 0.0829 x4
10 O 0.2515 0.2958 0.2125 x4
11 O 0.2566 0.3006 0.7861 x4
12 O 0.2680 0.0524 0.9154 x4
13 O 0.3104 0.4882 0.4295 x4
14 O 0.4858 0.2304 0.5867 x4

Computed properties:
The final energy is -7.340 eV per atom.


Record 4
A plane-wave DFT calculation with GGA-PBE was carried out for K2PaH3O3 after structural relaxation.

a = 6.3216 Å, b = 6.3216 Å, c = 3.9380 Å
α = 90.00°, β = 90.00°, γ = 120.00°
Space group P-62m (No. 189)
One atom of each set of equivalent atoms:
1 K 0.3333 0.6667 0.0000 x2
2 Pa 0.0000 0.0000 0.5000 x1
3 H 0.0000 0.8345 0.0000 x3
4 O 0.0000 0.3164 0.5000 x3

Computed properties:
The final energy is -5.255 eV per atom.